Compound: Na2InSn
Source: Alexandria
Functional: PBE
Structure: optimized geometry

Output
Magnetization: 0.0 μB per formula unit
V: 30.38 Å³/atom
Energy of formation: -0.12 eV per atom

a = 4.969 Å, b = 4.969 Å, c = 6.370 Å
α = 89.94°, β = 112.97°, γ = 120.07°
Sites, in units of the cell vectors:
Na (0.154, 0.828, 0.982)
Na (0.597, 0.047, 0.644)
In (0.757, 0.628, 0.385)
Sn (0.993, 0.247, 0.239)